First-principles (PBE-GGA) data for a geometry-optimized Y2CrCo structure, as listed in Alexandria.

```
4
Lattice="-5.3993 -1.3196 1.5970 -2.2996 -5.0844 -1.5179 4.8602 2.0170 2.3987" Properties=species:S:1:pos:R:3 pbc="T T T"
Co -3.8494 -3.2020 0.0395
Cr -2.1942 -1.2523 2.0176
Y 0.0000 0.0000 0.0000
Y -0.6444 -3.1348 0.4602
```

The value obtained for the density of states at the Fermi level is 3.3 states/eV per cell. Its formation energy is 0.357 eV per atom. The volume comes out at 20.96 Å³/atom. As for the space group: I-4m2, No. 119. For the energy above the most stable polymorph in this dataset, the calculation gives 0.313 eV per atom.

First-principles (PBE-GGA) data for a geometry-optimized Y2CrCo structure, as listed in Alexandria.

```
4
Lattice="0.0000 3.4659 3.4659 3.4659 0.0000 3.4659 3.4659 3.4659 0.0000" Properties=species:S:1:pos:R:3 pbc="T T T"
Y 1.7329 1.7329 1.7329
Y 5.1988 5.1988 5.1988
Cr 0.0000 0.0000 0.0000
Co 3.4659 3.4659 3.4659
```

The value obtained for the density of states at the Fermi level is 2.9 states/eV per cell. Its formation energy is 0.159 eV per atom. The volume comes out at 20.82 Å³/atom. As for the space group: Fm-3m, No. 225. For the energy above the most stable polymorph in this dataset, the calculation gives 0.115 eV per atom.

First-principles (PBE-GGA) data for a geometry-optimized Y2CrCo structure, as listed in Alexandria.

```
4
Lattice="4.8475 0.0000 0.0000 2.4238 4.1981 0.0000 2.4238 1.3994 3.9580" Properties=species:S:1:pos:R:3 pbc="T T T"
Co 4.8475 2.7987 1.9790
Cr 7.2713 4.1981 2.9685
Y 0.0000 0.0000 0.0000
Y 2.4238 1.3994 0.9895
```

The value obtained for the density of states at the Fermi level is 5.1 states/eV per cell. Its formation energy is 0.453 eV per atom. The volume comes out at 20.14 Å³/atom. As for the space group: F-43m, No. 216. For the energy above the most stable polymorph in this dataset, the calculation gives 0.408 eV per atom.

First-principles (PBE-GGA) data for a geometry-optimized Y2CrCo structure, as listed in Alexandria.

```
4
Lattice="6.0446 0.0115 -0.0037 3.3072 5.0597 0.0037 -4.2404 -3.3387 2.7221" Properties=species:S:1:pos:R:3 pbc="T T T"
Co 4.3643 2.3666 0.0000
Cr 2.4211 2.4264 1.3629
Y 0.0405 0.0219 0.0000
Y 2.9615 -0.5469 1.3592
```

The value obtained for the density of states at the Fermi level is 3.9 states/eV per cell. Its formation energy is 0.176 eV per atom. The volume comes out at 20.80 Å³/atom. As for the space group: Imm2, No. 44. For the energy above the most stable polymorph in this dataset, the calculation gives 0.132 eV per atom.